An optimized crystal structure of Sc2CoH, computed with PBE-GGA.

POSCAR file:
```
Sc2CoH
1.0
-1.5776 -1.7494 3.6224
-4.1048 0.7239 1.1391
-2.9011 -3.1941 -0.2288
Sc H Co
2 1 1
Direct
0.2500 0.2500 0.2500
0.7500 0.7500 0.7500
0.0000 0.0000 0.0000
0.5000 0.5000 0.5000
```

An optimized crystal structure of Y5HoTl4, computed with PBE-GGA.

POSCAR file:
```
Y5HoTl4
1.0
3.6400 0.0000 0.0000
0.0000 3.6400 0.0000
0.0000 0.0000 21.5113
Y Ho Tl
5 1 4
Direct
0.5000 0.5000 0.1136
0.5000 0.5000 0.3056
0.5000 0.5000 0.5000
0.5000 0.5000 0.6944
0.5000 0.5000 0.8864
0.0000 0.0000 0.0000
0.0000 0.0000 0.2093
0.0000 0.0000 0.4030
0.0000 0.0000 0.5970
0.0000 0.0000 0.7907
```

Summary:
**ΔE_f**: -301 meV/atom

An optimized crystal structure of CrAs2Rh, computed with PBE-GGA.

POSCAR file:
```
CrAs2Rh
1.0
4.6821 0.0034 0.0017
3.5522 3.0503 0.0017
0.9827 0.3644 4.2846
As Cr Rh
2 1 1
Direct
0.0036 0.0036 0.9380
0.2457 0.2457 0.3370
0.5162 0.5162 0.4190
0.7346 0.7346 0.8060
```

Summary:
**ΔE_f**: -154 meV/atom

An optimized crystal structure of Nd4PuN5, computed with PBE-GGA.

POSCAR file:
```
Nd4PuN5
1.0
-5.0430 -0.4386 0.7213
-2.6268 -4.7309 -3.1192
-1.5866 -3.6662 4.8013
Nd Pu N
4 1 5
Direct
0.4004 0.3997 0.8016
0.8001 0.8016 0.6003
0.2020 0.1984 0.3997
0.6018 0.6003 0.1984
0.0012 0.0000 0.0000
0.9082 0.3729 0.8130
0.2810 0.8130 0.6271
0.7212 0.1870 0.3729
0.0940 0.6271 0.1870
0.5004 0.0000 0.0000
```

Summary:
**Uncorrected formation energy**: -1.335 eV/atom

An optimized crystal structure of Ce2LuTh, computed with PBE-GGA.

POSCAR file:
```
Ce2LuTh
1.0
-1.7655 -2.9001 0.0071
1.2233 -2.7282 1.6088
-5.7785 1.5561 10.6153
Lu Ce Th
1 2 1
Direct
0.0000 0.0000 0.0000
0.0873 0.0873 0.7380
0.9127 0.9127 0.2620
0.5000 0.5000 0.5000
```

Summary:
**ΔE_f**: 206 meV/atom

An optimized crystal structure of CaPt3, computed with PBE-GGA.

POSCAR file:
```
CaPt3
1.0
-2.0116 -0.2472 -4.5129
-3.3431 -1.7221 3.2143
-1.0822 2.7227 0.3332
Ca Pt
1 3
Direct
0.0000 0.0000 0.0000
0.0000 0.5000 0.5000
0.5000 0.0000 0.5000
0.5000 0.5000 0.0000
```

Summary:
**ΔE_f**: -508 meV/atom

An optimized crystal structure of VFe11C4, computed with PBE-GGA.

POSCAR file:
```
VFe11C4
1.0
4.3091 0.0000 0.0000
0.0000 4.7937 0.0401
0.0000 0.1025 7.6943
V Fe C
1 11 4
Direct
0.5000 0.6030 0.1877
0.5000 0.1566 0.3396
0.5000 0.1376 0.9918
0.0000 0.5618 0.7117
0.0000 0.2206 0.1621
0.0000 0.0344 0.5199
0.0000 0.0550 0.8218
0.0000 0.5078 0.4126
0.5000 0.6805 0.8556
0.5000 0.7167 0.5255
0.0000 0.7396 0.0639
0.5000 0.2249 0.6576
0.1789 0.4118 0.9440
0.8245 0.8685 0.2954
0.1755 0.8685 0.2954
0.8211 0.4118 0.9440
```

Summary:
**ΔE_f**: 206 meV/atom

An optimized crystal structure of TiSiS2Cl, computed with PBE-GGA.

POSCAR file:
```
TiSiS2Cl
1.0
-1.1001 -0.3187 4.5102
-1.4689 -4.3648 -0.6667
4.1284 -1.5266 0.8991
S Cl Si Ti
2 1 1 1
Direct
0.0000 0.5000 0.0000
0.5000 0.0000 0.0000
0.0000 0.0000 0.5000
0.0000 0.0000 0.0000
0.5000 0.5000 0.5000
```

Summary:
**Uncorrected formation energy**: -0.019 eV/atom

no.,E_tot (eV per atom)
1,-5.785
2,-4.937
3,-6.722
4,-8.838
5,-5.746
6,-5.539
7,-8.488
8,-4.702